First-principles (PBE) data for crystalline SrLi2Zn3 at its relaxed geometry, as listed in Alexandria via LeMat-Bulk.

Values from the calculation:
space-group type	Cmcm, No. 63
formation energy from the elements	-0.160	eV/atom
density	3.9	g cm⁻³
VASP energy	-10.3	eV/f.u.
volume	250.83	Å³ per cell

Unit cell a=6.954 b=6.954 c=5.261 alpha=90.00 beta=90.00 gamma=80.38
Element x y z (fractional)
1 Sr 0.187 0.813 0.750
2 Sr 0.813 0.187 0.250
3 Li 0.284 0.284 0.000
4 Li 0.284 0.284 0.500
5 Li 0.716 0.716 0.000
6 Li 0.716 0.716 0.500
7 Zn 0.045 0.567 0.250
8 Zn 0.429 0.571 0.250
9 Zn 0.433 0.955 0.250
10 Zn 0.567 0.045 0.750
11 Zn 0.571 0.429 0.750
12 Zn 0.955 0.433 0.750